Below is BaCa2GaCo after structural relaxation, with properties calculated at the PBE-GGA level.

abc: 5.412 5.412 4.893
angles: 90.00 90.00 90.00
Space group P4/mmm (No. 123)
One atom of each set of equivalent atoms:
1 Ba 0.000 0.000 0.000 x1
2 Ca 0.000 0.500 0.500 x2
3 Ga 0.500 0.500 0.000 x1
4 Co 0.500 0.500 0.500 x1

Calculated values
ΔE_f = -0.029 eV/atom
Theoretical density = 4.01 g cm⁻³

=====

Below is Ba2CaCoH6 after structural relaxation, with properties calculated at the PBE-GGA level.

abc: 5.6789 5.6789 5.8929
angles: 90.00 90.00 120.00
Space group P-3m1 (No. 164)
One atom of each set of equivalent atoms:
1 Ba 0.3333 0.6667 0.1548 x2
2 Ca 0.0000 0.0000 0.5000 x1
3 Co 0.0000 0.0000 0.0000 x1
4 H 0.1332 0.2665 0.8372 x6

Calculated values
Theoretical density = 3.83 g cm⁻³
Uncorrected energy = -36.74 eV per cell

=====

Below is BaCaCoH2 after structural relaxation, with properties calculated at the PBE-GGA level.

abc: 4.417 4.417 5.348
angles: 90.00 90.00 90.00
Space group P4/mmm (No. 123)
One atom of each set of equivalent atoms:
1 Ba 0.000 0.000 0.000 x1
2 Ca 0.500 0.500 0.500 x1
3 Co 0.500 0.500 0.000 x1
4 H 0.000 0.500 0.500 x2

Calculated values
Theoretical density = 3.79 g cm⁻³
Uncorrected energy = -16.70 eV per cell

=====

Q: The lowest theoretical density belongs to which entry?
A: BaCaCoH2

=====

Q: theoretical density of number 2 (Ba2CaCoH6)?
A: 3.83 g cm⁻³

=====

Q: Among the records above, which one has the lowest theoretical density?
A: BaCaCoH2

=====

Q: The lowest theoretical density belongs to which entry?
A: BaCaCoH2